This record from Alexandria describes a relaxed Zn2Cd2Au7 crystal. The functional is PBE-GGA.

Properties
V (Å³ per cell): 209.6
DOS at the Fermi energy (states/eV/f.u.): 2.87
Symmetry: C2/m, No. 12
Total DFT energy (no corrections) (eV/atom): -2.602

abc: 6.9554 6.9554 4.9409
angles: 110.47 110.47 85.09
With the nearest neighbours (Å) after each atom.
Element x y z (fractional)
Zn: 0.2228 0.2228 0.4696  8 Au 2.73-2.81
Zn: 0.7772 0.7772 0.5304  8 Au 2.73-2.81
Cd: 0.2965 0.7035 0.5000  10 Au 2.95-3.13
Cd: 0.7035 0.2965 0.5000  10 Au 2.95-3.13
Au: 0.0799 0.5661 0.8225  2 Zn 2.74-2.76, 4 Au 2.79-2.86, 3 Cd 2.95-2.98
Au: 0.0854 0.0854 0.8262  3 Zn 2.73-2.80, 4 Au 2.85-2.98
Au: 0.4339 0.9201 0.1775  2 Zn 2.74-2.76, 4 Au 2.79-2.86, 3 Cd 2.95-2.98
Au: 0.5000 0.5000 0.0000  4 Au 2.79, 2 Zn 2.81
Au: 0.5661 0.0799 0.8225  2 Zn 2.74-2.76, 4 Au 2.79-2.86, 3 Cd 2.95-2.98
Au: 0.9146 0.9146 0.1738  3 Zn 2.73-2.80, 4 Au 2.85-2.98
Au: 0.9201 0.4339 0.1775  2 Zn 2.74-2.76, 4 Au 2.79-2.86, 3 Cd 2.95-2.98

=====

This record from Alexandria describes a relaxed NbV2Tc crystal. The functional is PBE-GGA.

Properties
V (Å³ per cell): 59.3
DOS at the Fermi energy (states/eV/f.u.): 2.80
Symmetry: P4/mmm, No. 123
Total DFT energy (no corrections) (eV/atom): -9.870

abc: 3.0753 3.0753 6.2661
angles: 90.00 90.00 90.00
With the nearest neighbours (Å) after each atom.
Element x y z (fractional)
Nb: 0.0000 0.0000 0.0000  8 V 2.73
V: 0.5000 0.5000 0.2623  4 Tc 2.64, 4 Nb 2.73
V: 0.5000 0.5000 0.7377  4 Tc 2.64, 4 Nb 2.73
Tc: 0.0000 0.0000 0.5000  8 V 2.64

=====

This record from Alexandria describes a relaxed Sc2TaCr crystal. The functional is PBE-GGA.

Properties
V (Å³ per cell): 75.1
DOS at the Fermi energy (states/eV/f.u.): 5.24
Symmetry: Cm, No. 8
Total DFT energy (no corrections) (eV/atom): -8.146

abc: 4.7918 4.7918 5.7096
angles: 91.58 91.58 34.99
With the nearest neighbours (Å) after each atom.
Element x y z (fractional)
Sc: 0.0000 0.0000 0.0000  3 Ta 2.78-3.01, 3 Sc 2.81-2.88, 2 Cr 2.96
Sc: 0.2413 0.2413 0.7053  3 Cr 2.79-2.98, 3 Sc 2.81-2.88, 2 Ta 2.95
Ta: 0.7459 0.7459 0.2551  1 Cr 2.56, 1 Sc 2.78
Cr: 0.4984 0.4984 0.4533  1 Ta 2.56, 1 Sc 2.79

=====

Formation energy, respectively: -1.3; -0.8; 1.6 eV per formula unit.